*P*
Here is a geometry-optimized SiTcAs2Br structure from Alexandria. Energies are from PBE-GGA.

## Properties
As for the magnetization: 0.000 μB per cell. The symmetry is No. 123.

a = 4.717 Å, b = 4.717 Å, c = 5.436 Å
α = 90.00°, β = 90.00°, γ = 90.00°
Positions (direct):
Si  0.000  0.000  0.000
Tc  0.500  0.500  0.500
As  0.000  0.500  0.500
As  0.500  0.000  0.500
Br  0.500  0.500  0.000

---

*Q*
Here is a geometry-optimized SiTcAs2Br structure from Alexandria. Energies are from PBE-GGA.

## Properties
As for the magnetization: 3.363 μB per cell. The symmetry is No. 123.

a = 4.826 Å, b = 4.826 Å, c = 4.887 Å
α = 90.00°, β = 90.00°, γ = 90.00°
Positions (direct):
Si  0.000  0.000  0.000
Tc  0.500  0.500  0.500
As  0.000  0.500  0.000
As  0.500  0.000  0.000
Br  0.000  0.000  0.500

---

Winner for stability: *P*

---

*P*
Here is a geometry-optimized SiTeAsBr2 structure from Alexandria. Energies are from PBE-GGA.

## Properties
As for the magnetization: 0.607 μB per cell. The symmetry is No. 123.

a = 4.896 Å, b = 4.896 Å, c = 5.464 Å
α = 90.00°, β = 90.00°, γ = 90.00°
Positions (direct):
Si  0.000  0.000  0.000
Te  0.500  0.500  0.500
As  0.000  0.000  0.500
Br  0.000  0.500  0.000
Br  0.500  0.000  0.000

---

*Q*
Here is a geometry-optimized SiTeAsBr2 structure from Alexandria. Energies are from PBE-GGA.

## Properties
As for the magnetization: 0.165 μB per cell. The symmetry is No. 123.

a = 5.428 Å, b = 5.428 Å, c = 5.673 Å
α = 90.00°, β = 90.00°, γ = 90.00°
Positions (direct):
Si  0.000  0.000  0.000
Te  0.500  0.500  0.500
As  0.500  0.500  0.000
Br  0.000  0.500  0.500
Br  0.500  0.000  0.500

---

Winner for stability: *P*

---

*P*
Here is a geometry-optimized TiSiAsBr2 structure from Alexandria. Energies are from PBE-GGA.

## Properties
As for the magnetization: 0.890 μB per cell. The symmetry is No. 123.

a = 4.938 Å, b = 4.938 Å, c = 5.246 Å
α = 90.00°, β = 90.00°, γ = 90.00°
Positions (direct):
Ti  0.000  0.000  0.000
Si  0.500  0.500  0.500
As  0.000  0.000  0.500
Br  0.000  0.500  0.000
Br  0.500  0.000  0.000

---

*Q*
Here is a geometry-optimized TiSiAsBr2 structure from Alexandria. Energies are from PBE-GGA.

## Properties
As for the magnetization: 0.085 μB per cell. The symmetry is No. 123.

a = 4.923 Å, b = 4.923 Å, c = 5.075 Å
α = 90.00°, β = 90.00°, γ = 90.00°
Positions (direct):
Ti  0.000  0.000  0.000
Si  0.500  0.500  0.500
As  0.500  0.500  0.000
Br  0.000  0.500  0.500
Br  0.500  0.000  0.500

---

Winner for stability: *P*

---

*P*
Here is a geometry-optimized TlSiAsBr2 structure from Alexandria. Energies are from PBE-GGA.

## Properties
As for the magnetization: 0.407 μB per cell. The symmetry is No. 123.

a = 5.590 Å, b = 5.590 Å, c = 5.530 Å
α = 90.00°, β = 90.00°, γ = 90.00°
Positions (direct):
Tl  0.000  0.000  0.000
Si  0.500  0.500  0.500
As  0.000  0.000  0.500
Br  0.000  0.500  0.000
Br  0.500  0.000  0.000

---

*Q*
Here is a geometry-optimized TlSiAsBr2 structure from Alexandria. Energies are from PBE-GGA.

## Properties
As for the magnetization: 0.817 μB per cell. The symmetry is No. 123.

a = 5.440 Å, b = 5.440 Å, c = 4.823 Å
α = 90.00°, β = 90.00°, γ = 90.00°
Positions (direct):
Tl  0.000  0.000  0.000
Si  0.500  0.500  0.500
As  0.500  0.500  0.000
Br  0.000  0.500  0.500
Br  0.500  0.000  0.500

---

Winner for stability: *Q*